(1)
# Tb8ErSc6

A geometry-optimized Tb8ErSc6 structure (PBE, Alexandria via LeMat-Bulk).

Properties
As for the size of the total moment: 0.00 Bohr magnetons per cell. For the energy above the most stable polymorph in this dataset, the calculation gives 0.058 eV/atom. For the energy, the calculation gives -5.0616 eV/atom. For the energy relative to the elements, the calculation gives 244.7 meV/atom.

```
data_Tb8ErSc6
_cell_length_a 9.0448
_cell_length_b 9.0448
_cell_length_c 6.3857
_cell_angle_alpha 90.00
_cell_angle_beta 90.00
_cell_angle_gamma 120.00
_space_group_name_H-M_alt 'P -3'
_space_group_IT_number 147
loop_
_space_group_symop_operation_xyz
'x,y,z'
'-x,-y,-z'
'-y,x-y,z'
'y,-x+y,-z'
'-x+y,-x,z'
'x-y,x,-z'
loop_
_atom_site_label
_atom_site_fract_x
_atom_site_fract_y
_atom_site_fract_z
Tb1 0.0375 0.6928 0.1120
Tb2 0.3333 0.6667 0.7782
Er1 0.0000 0.0000 0.5000
Sc1 0.0665 0.3955 0.4018
```

=====

(2)
# TbEr6Sc12

A geometry-optimized TbEr6Sc12 structure (PBE, Alexandria via LeMat-Bulk).

Properties
As for the size of the total moment: 0.00 Bohr magnetons per cell. For the energy, the calculation gives -5.5268 eV/atom. For the energy relative to the elements, the calculation gives 156.7 meV/atom.

```
data_TbEr6Sc12
_cell_length_a 10.3818
_cell_length_b 10.3818
_cell_length_c 16.4518
_cell_angle_alpha 90.00
_cell_angle_beta 90.00
_cell_angle_gamma 120.00
_space_group_name_H-M_alt 'R -3 m'
_space_group_IT_number 166
_space_group_name_Hall '-R 3 2"'
loop_
_atom_site_label
_atom_site_fract_x
_atom_site_fract_y
_atom_site_fract_z
Tb1 0.0000 0.0000 0.0000
Er1 0.0638 0.5319 0.7712
Sc1 0.1012 0.5506 0.4127
Sc2 0.1046 0.2091 0.4028
```

=====

no.,DOS at the Fermi energy (states/eV per cell)
1,21.77
2,79.88